Density functional theory data (PBEsol) for an optimized crystal structure of Li2CaRe.

- total moment (μB/atom) = 0.22
- energy of formation from the pure elements (eV/atom) = 0.884

Lattice parameters (Å, degrees): 3.981 3.981 8.769 90.00 90.00 90.00
Space group I-4m2 (No. 119)
Asymmetric unit:
1 Li 0.000 0.000 0.000 x2
2 Li 0.000 0.500 0.250 x2
3 Ca 0.000 0.500 0.750 x2
4 Re 0.000 0.000 0.500 x2

***

Density functional theory data (PBEsol) for an optimized crystal structure of SbH2I.

- total moment (μB/atom) = 0.00
- DFT total energy (eV per atom) = -3.262

Lattice parameters (Å, degrees): 4.323 4.352 10.746 89.29 86.94 89.65
Space group P1 (No. 1)
Asymmetric unit:
1 Sb 0.000 0.000 0.000 x1
2 Sb 0.491 0.479 0.000 x1
3 H 0.300 0.739 0.529 x1
4 H 0.327 0.786 0.596 x1
5 H 0.668 0.200 0.459 x1
6 H 0.756 0.294 0.408 x1
7 I 0.216 0.732 0.240 x1
8 I 0.780 0.247 0.759 x1

***

Density functional theory data (PBEsol) for an optimized crystal structure of BaLiLa2Ag.

- total moment (μB/atom) = 0.00
- energy of formation from the pure elements (eV/atom) = 0.355

Lattice parameters (Å, degrees): 5.613 5.613 4.920 90.00 90.00 90.00
Space group P4/mmm (No. 123)
Asymmetric unit:
1 Ba 0.000 0.000 0.000 x1
2 Li 0.500 0.500 0.500 x1
3 La 0.000 0.500 0.500 x2
4 Ag 0.500 0.500 0.000 x1

***

Density functional theory data (PBEsol) for an optimized crystal structure of KTl2In.

- total moment (μB/atom) = 0.00
- energy of formation from the pure elements (eV/atom) = -0.096

Lattice parameters (Å, degrees): 5.402 5.448 8.154 90.00 90.00 90.00
Space group Cmmm (No. 65)
Asymmetric unit:
1 K 0.000 0.000 0.000 x2
2 Tl 0.000 0.500 0.291 x4
3 In 0.000 0.000 0.500 x2

***

Density functional theory data (PBEsol) for an optimized crystal structure of Na3HRu.

- total moment (μB/atom) = 0.40
- DFT total energy (eV per atom) = -2.152

Lattice parameters (Å, degrees): 5.599 5.599 5.599 90.00 90.00 90.00
Space group Pm-3m (No. 221)
Asymmetric unit:
1 Na 0.000 0.000 0.500 x3
2 H 0.500 0.500 0.500 x1
3 Ru 0.000 0.000 0.000 x1

***

Density functional theory data (PBEsol) for an optimized crystal structure of NaHf2S.

- total moment (μB/atom) = 0.00
- ΔE_f (raw) (eV per atom) = 0.25

Lattice parameters (Å, degrees): 4.000 4.000 20.190 90.00 90.00 90.00
Space group I-42d (No. 122)
Asymmetric unit:
1 Na 0.000 0.000 0.000 x4
2 Hf 0.229 0.250 0.625 x8
3 S 0.000 0.000 0.500 x4